DFT (PBE) results for a relaxed UAlO2 crystal.

## Properties
Space group = R-3m (166)
Magnetic moment = 0.8283 μB/atom
Electronic total energy = -8.3836 eV per atom
Raw formation energy = -207 kJ/mol of atoms

Cell lengths 2.9572, 2.9572, 6.9287 Å; angles 77.68, 77.68, 60.00 degrees
Sites, in units of the cell vectors:
Al  0.5000  0.5000  0.5000
O  0.8813  0.8813  0.3562
O  0.1187  0.1187  0.6438
U  0.0000  0.0000  0.0000